No. 1
Below is a relaxed YZnSb2 crystal, with properties calculated at the PBE level.

## Properties
Total energy   -4.41 eV per atom
Formation energy (no corrections)   -0.41 eV per atom
Total magnetic moment   0.000 μB per atom
Space group   No. 38

abc: 4.7218 6.6512 6.6512
angles: 30.21 90.00 90.00
Element x y z (fractional)
Y 0.0000 0.0000 0.0000
Zn 0.5000 0.6194 0.6194
Sb 0.0000 0.7203 0.7203
Sb 0.5000 0.4071 0.4071

No. 2
Below is a relaxed YZnSb2 crystal, with properties calculated at the PBE level.

## Properties
Total energy   -4.19 eV per atom
Formation energy (no corrections)   -0.20 eV per atom
Total magnetic moment   0.000 μB per atom
Space group   No. 99

abc: 3.3219 3.3219 9.5905
angles: 90.00 90.00 90.00
Element x y z (fractional)
Y 0.0000 0.0000 0.0000
Zn 0.5000 0.5000 0.2073
Sb 0.0000 0.0000 0.3932
Sb 0.5000 0.5000 0.7568